This record from Alexandria via LeMat-Bulk describes a crystal of BaMnP3 relaxed with PBEsol. The functional is SCAN.

Output
Space-group type   Pm-3m, No. 221
Energy relative to the elements   8.0 eV per formula unit
Final energy   -81.004 eV/cell
D(E_F)   1.0478 states/eV/atom
Total magnetic moment   0.894 μB/atom

Geometry as POSCAR:
```
BaMnP3
1.0
5.4035 0.0000 0.0000
0.0000 5.4035 0.0000
0.0000 0.0000 5.4035
Ba Mn P
1 1 3
Cartesian
0.0000 0.0000 0.0000
2.7017 2.7017 2.7017
0.0000 0.0000 2.7017
0.0000 2.7017 0.0000
2.7017 0.0000 0.0000
```